(i)
The following is a PBE calculation of a relaxed SrTi3C crystal, from Alexandria via LeMat-Bulk.

Mass density (kg/m3): 4525
Calculated volume (A^3/atom): 17.852
Magnetic moment (μB per cell): 0.00

Cell lengths 4.4691, 4.4691, 4.4691 Å; angles 90.00, 90.00, 90.00 degrees
Element x y z (fractional)
Sr 0.5000 0.5000 0.5000
C 0.0000 0.0000 0.0000
Ti 0.0000 0.5000 0.0000
Ti 0.0000 0.0000 0.5000
Ti 0.5000 0.0000 0.0000

=====

(ii)
The following is a PBE calculation of a relaxed SrTi3C crystal, from Alexandria via LeMat-Bulk.

Mass density (kg/m3): 3956
Calculated volume (A^3/atom): 20.420
Magnetic moment (μB per cell): 1.67

Cell lengths 4.6739, 4.6739, 4.6739 Å; angles 90.00, 90.00, 90.00 degrees
Site moments in Bohr magnetons follow the coordinates.
Element x y z (fractional)
Sr 0.0000 0.0000 0.0000  0.01
C 0.5000 0.5000 0.5000  -0.07
Ti 0.0000 0.5000 0.0000  0.48
Ti 0.0000 0.0000 0.5000  0.29
Ti 0.5000 0.0000 0.0000  0.59

=====

From most stable to least stable, the computed energies give (i), (ii).

=====

(i)
The following is a PBE calculation of a relaxed SrTl2C crystal, from Alexandria via LeMat-Bulk.

Mass density (kg/m3): 8310
Calculated volume (A^3/atom): 25.398
Magnetic moment (μB per cell): 0.00

Cell lengths 5.2375, 5.2375, 5.2375 Å; angles 60.00, 60.00, 60.00 degrees
Element x y z (fractional)
Sr 0.5000 0.5000 0.5000
Tl 0.2500 0.2500 0.2500
Tl 0.7500 0.7500 0.7500
C 0.0000 0.0000 0.0000

=====

(ii)
The following is a PBE calculation of a relaxed SrTl2C crystal, from Alexandria via LeMat-Bulk.

Mass density (kg/m3): 8466
Calculated volume (A^3/atom): 24.930
Magnetic moment (μB per cell): 0.00

Cell lengths 8.3504, 8.3504, 6.5609 Å; angles 50.48, 50.48, 90.00 degrees
Element x y z (fractional)
Sr 0.0000 0.0000 0.0000
Sr 0.7500 0.2500 0.5000
Tl 0.5328 0.1250 0.2500
Tl 0.2172 0.6250 0.2500
Tl 0.3750 0.4672 0.7500
Tl 0.8750 0.7828 0.7500
C 0.5000 0.5000 0.0000
C 0.2500 0.7500 0.5000

=====

From most stable to least stable, the computed energies give (ii), (i).

=====

(i)
The following is a PBE calculation of a relaxed SrTlC2 crystal, from Alexandria via LeMat-Bulk.

Mass density (kg/m3): 6281
Calculated volume (A^3/atom): 20.887
Magnetic moment (μB per cell): 0.00

Cell lengths 4.8384, 4.8384, 7.9154 Å; angles 72.20, 72.20, 90.00 degrees
Element x y z (fractional)
Sr 0.5000 0.5000 0.0000
Sr 0.2500 0.7500 0.5000
Tl 0.0000 0.0000 0.0000
Tl 0.7500 0.2500 0.5000
C 0.7383 0.1250 0.2500
C 0.0117 0.6250 0.2500
C 0.3750 0.2617 0.7500
C 0.8750 0.9883 0.7500

=====

(ii)
The following is a PBE calculation of a relaxed SrTlC2 crystal, from Alexandria via LeMat-Bulk.

Mass density (kg/m3): 7639
Calculated volume (A^3/atom): 17.173
Magnetic moment (μB per cell): 0.00

Cell lengths 4.5970, 4.5970, 4.5970 Å; angles 60.00, 60.00, 60.00 degrees
Element x y z (fractional)
Sr 0.0000 0.0000 0.0000
Tl 0.5000 0.5000 0.5000
C 0.2500 0.2500 0.2500
C 0.7500 0.7500 0.7500

=====

From most stable to least stable, the computed energies give (i), (ii).

=====

(i)
The following is a PBE calculation of a relaxed SrTl3C crystal, from Alexandria via LeMat-Bulk.

Mass density (kg/m3): 4549
Calculated volume (A^3/atom): 52.037
Magnetic moment (μB per cell): 1.03

Cell lengths 6.3840, 6.3840, 6.3840 Å; angles 90.00, 90.00, 90.00 degrees
Site moments in Bohr magnetons follow the coordinates.
Element x y z (fractional)
Sr 0.0000 0.0000 0.0000  -0.10
Tl 0.0000 0.5000 0.0000  -0.08
Tl 0.0000 0.0000 0.5000  -0.07
Tl 0.5000 0.0000 0.0000  -0.09
C 0.5000 0.5000 0.5000  0.99

=====

(ii)
The following is a PBE calculation of a relaxed SrTl3C crystal, from Alexandria via LeMat-Bulk.

Mass density (kg/m3): 8525
Calculated volume (A^3/atom): 27.768
Magnetic moment (μB per cell): 0.00

Cell lengths 5.1781, 5.1781, 5.1781 Å; angles 90.00, 90.00, 90.00 degrees
Element x y z (fractional)
Sr 0.5000 0.5000 0.5000
Tl 0.0000 0.5000 0.0000
Tl 0.0000 0.0000 0.5000
Tl 0.5000 0.0000 0.0000
C 0.0000 0.0000 0.0000

=====

From most stable to least stable, the computed energies give (ii), (i).